{
  "formula": "GdPaGaAu",
  "functional": "PBE",
  "state": "relaxed",
  "e_tot_ev_per_cell": -31.21,
  "cell": [[0.0000, 3.6234, 3.6234], [3.6234, 0.0000, 3.6234], [3.6234, 3.6234, 0.0000]],
  "species": ["Gd", "Pa", "Ga", "Au"],
  "fractional_positions": [[0.0000, 0.0000, 0.0000], [0.5000, 0.5000, 0.5000], [0.7500, 0.7500, 0.7500], [0.2500, 0.2500, 0.2500]]
}

***

{
  "formula": "AlIrW2",
  "functional": "PBE",
  "state": "relaxed",
  "e_tot_ev_per_cell": -39.20,
  "cell": [[3.1423, 0.0000, 0.0000], [0.0000, 4.2705, 0.0000], [0.0000, 0.0000, 4.5372]],
  "species": ["Al", "Ir", "W", "W"],
  "fractional_positions": [[0.0000, 0.0000, 0.0000], [0.5000, 0.5000, 0.0000], [0.0000, 0.5000, 0.5000], [0.5000, 0.0000, 0.5000]]
}